TbSi2RuPt4: optimized geometry, GGA-PBE.

Properties
For the density, the calculation gives 12.67 g cm⁻³. The total energy is -6.6058 eV per atom. As for the density of states at the Fermi level: 4.5 states/eV/cell. Its formation energy without anion corrections is -491.4 meV per atom. The value obtained for the spin magnetization is 1.02 μB/f.u.

CIF file:
```
data_TbSi2RuPt4
_chemical_formula_sum 'Tb1 Si2 Ru1 Pt4'
_cell_length_a 3.897
_cell_length_b 3.897
_cell_length_c 9.462
_cell_angle_alpha 90.00
_cell_angle_beta 90.00
_cell_angle_gamma 90.00
_space_group_name_H-M_alt 'P 4/m m m'
_space_group_IT_number 123
_space_group_name_Hall '-P 4 2'
loop_
_atom_site_label
_atom_site_type_symbol
_atom_site_fract_x
_atom_site_fract_y
_atom_site_fract_z
Tb1 Tb 0.000 0.000 0.000
Si1 Si 0.500 0.500 0.379
Ru1 Ru 0.000 0.000 0.500
Pt1 Pt 0.000 0.500 0.237
```